Entry 1:
First-principles (PBE-GGA) data for a geometry-optimized Be2GaTeC structure, as listed in Alexandria.

a = 4.098 Å, b = 5.879 Å, c = 4.098 Å
α = 90.00°, β = 90.00°, γ = 90.00°
Atoms (fractional coordinates):
Be  0.000  0.000  0.500
Be  0.500  0.000  0.000
C  0.500  0.500  0.500
Te  0.000  0.500  0.000
Ga  0.000  0.000  0.000


Entry 2:
First-principles (PBE-GGA) data for a geometry-optimized GePdRhCl2 structure, as listed in Alexandria.

a = 5.008 Å, b = 4.791 Å, c = 5.008 Å
α = 90.00°, β = 90.00°, γ = 90.00°
Atoms (fractional coordinates):
Ge  0.000  0.000  0.000
Rh  0.500  0.500  0.500
Pd  0.000  0.500  0.000
Cl  0.000  0.000  0.500
Cl  0.500  0.000  0.000


Entry 3:
First-principles (PBE-GGA) data for a geometry-optimized EuLuScTl structure, as listed in Alexandria.

a = 5.428 Å, b = 5.428 Å, c = 5.428 Å
α = 60.00°, β = 60.00°, γ = 60.00°
Atoms (fractional coordinates):
Eu  0.250  0.250  0.250
Sc  0.000  0.000  0.000
Tl  0.500  0.500  0.500
Lu  0.750  0.750  0.750

Output
Formation energy from the elements = -1 kJ/mol of atoms


Entry 4:
First-principles (PBE-GGA) data for a geometry-optimized PmAlRu structure, as listed in Alexandria.

a = 4.380 Å, b = 7.886 Å, c = 7.377 Å
α = 90.00°, β = 90.00°, γ = 90.00°
Atoms (fractional coordinates):
Pm  0.500  0.250  0.750
Pm  0.000  0.750  0.250
Pm  0.500  0.750  0.750
Pm  0.000  0.250  0.250
Ru  0.000  0.500  0.576
Ru  0.000  0.000  0.924
Ru  0.500  0.000  0.424
Ru  0.500  0.500  0.076
Al  0.000  0.000  0.587
Al  0.000  0.500  0.913
Al  0.500  0.000  0.087
Al  0.500  0.500  0.413

Output
Formation energy from the elements = -38 kJ/mol of atoms


Entry 5:
First-principles (PBE-GGA) data for a geometry-optimized TiFe2CCl structure, as listed in Alexandria.

a = 4.854 Å, b = 3.861 Å, c = 4.854 Å
α = 90.00°, β = 90.00°, γ = 90.00°
Atoms (fractional coordinates):
C  0.000  0.500  0.000
Cl  0.500  0.500  0.500
Fe  0.000  0.000  0.500
Fe  0.500  0.000  0.000
Ti  0.000  0.000  0.000


Entry 6:
First-principles (PBE-GGA) data for a geometry-optimized BaMg7Al5 structure, as listed in Alexandria.

a = 5.669 Å, b = 7.678 Å, c = 7.678 Å
α = 81.95°, β = 68.33°, γ = 68.33°
Atoms (fractional coordinates):
Ba  0.004  0.996  0.996
Mg  0.647  0.353  0.353
Mg  0.352  0.648  0.648
Mg  0.998  0.356  0.649
Mg  0.998  0.649  0.356
Mg  0.276  0.224  0.224
Mg  0.501  0.785  0.213
Mg  0.501  0.213  0.785
Al  0.501  0.996  0.504
Al  0.000  0.996  0.504
Al  0.501  0.504  0.996
Al  0.000  0.504  0.996
Al  0.723  0.777  0.777

Output
Formation energy from the elements = -9 kJ/mol of atoms


Entry 7:
First-principles (PBE-GGA) data for a geometry-optimized Er6SnBi2Te3 structure, as listed in Alexandria.

a = 4.389 Å, b = 8.745 Å, c = 9.792 Å
α = 102.53°, β = 102.95°, γ = 90.00°
Atoms (fractional coordinates):
Er  0.339  0.919  0.679
Er  0.666  0.581  0.333
Er  0.661  0.081  0.321
Er  0.000  0.237  0.000
Er  0.000  0.763  0.000
Er  0.334  0.419  0.667
Sn  0.500  0.000  0.000
Bi  0.833  0.666  0.666
Bi  0.167  0.334  0.334
Te  0.500  0.500  0.000
Te  0.831  0.166  0.662
Te  0.169  0.834  0.338


no.,E (eV/f.u.)
1,-14.09
2,-17.64
3,-23.51
4,-18.94
5,-28.43
6,-32.97
7,-60.98